! Cs2BTeRh PBE relaxed; values from VASP
&SYSTEM
  ibrav = 0, nat = 5, ntyp = 4
/
ATOMIC_SPECIES
Cs 132.91 Cs.upf
B 10.81 B.upf
Te 127.60 Te.upf
Rh 102.91 Rh.upf
CELL_PARAMETERS angstrom
6.8077 0.0000 0.0000
0.0000 6.8077 0.0000
0.0000 0.0000 4.9321
ATOMIC_POSITIONS angstrom
Cs 0.0000 3.4039 0.0000
Cs 3.4039 0.0000 0.0000
B 0.0000 0.0000 2.4660
Te 3.4039 3.4039 2.4660
Rh 3.4039 3.4039 0.0000
! Raw formation energy: 0.8211 eV per atom
! Calculated volume: 45.7 A^3/atom
! Crystal system: tetragonal
! Mass density: 3.68 g/cm³